The following is a DFT calculation (PBE) of CoRu2Pt after structural relaxation.

```
CoRu2Pt
1.0
-2.352 1.281 -2.685
-1.069 -2.449 -0.233
-4.694 -1.219 3.531
Ru Co Pt
2 1 1
direct
0.000 0.981 0.019
0.000 0.519 0.481
0.500 0.250 0.250
0.500 0.750 0.750
```

Calculated volume   54.6 Å³/cell
Uncorrected energy   -31.27 eV per cell
Offset from the most stable computed form   60 meV/atom
ΔE_f   108 meV/atom